Record 1
## TiRhIN2 (PBE)

Data for a geometry-optimized TiRhIN2 structure.

Properties
Offset from the most stable computed form   0.580 eV per atom

```
data_TiRhIN2
_chemical_formula_sum 'Ti1 Rh1 I1 N2'
_cell_length_a 3.8224
_cell_length_b 3.8224
_cell_length_c 6.7437
_cell_angle_alpha 90.00
_cell_angle_beta 90.00
_cell_angle_gamma 90.00
_symmetry_space_group_name_H-M 'P 4/m m m'
_symmetry_Int_Tables_number 123
_symmetry_space_group_name_Hall '-P 4 2'
loop_
_atom_site_label
_atom_site_type_symbol
_atom_site_fract_x
_atom_site_fract_y
_atom_site_fract_z
_atom_site_occupancy
Ti1 Ti 0.0000 0.0000 0.0000 1
Rh1 Rh 0.5000 0.5000 0.5000 1
I1 I 0.5000 0.5000 0.0000 1
N1 N 0.0000 0.5000 0.5000 1
```

***

Record 2
## Ca2ScCu2S4 (PBE)

Data for a geometry-optimized Ca2ScCu2S4 structure.

Properties
E_tot   -5.2045 eV/atom

```
data_Ca2ScCu2S4
_chemical_formula_sum 'Ca4 Sc2 Cu4 S8'
_cell_length_a 13.8505
_cell_length_b 3.7205
_cell_length_c 6.8971
_cell_angle_alpha 90.00
_cell_angle_beta 111.76
_cell_angle_gamma 90.00
_symmetry_space_group_name_H-M 'C 1 2/m 1'
_symmetry_Int_Tables_number 12
_symmetry_space_group_name_Hall '-C 2y'
loop_
_atom_site_label
_atom_site_type_symbol
_atom_site_fract_x
_atom_site_fract_y
_atom_site_fract_z
_atom_site_occupancy
Ca1 Ca 0.1326 0.0000 0.0658 1
Sc1 Sc 0.0000 0.0000 0.5000 1
Cu1 Cu 0.1810 0.5000 0.4942 1
S1 S 0.0153 0.5000 0.2427 1
S2 S 0.2069 0.0000 0.7203 1
```

***

Record 3
## InGeF3 (PBE)

Data for a geometry-optimized InGeF3 structure.

Properties
E_tot   -4.4208 eV/atom

```
data_InGeF3
_chemical_formula_sum 'In1 Ge1 F3'
_cell_length_a 4.4770
_cell_length_b 4.4770
_cell_length_c 4.4770
_cell_angle_alpha 90.00
_cell_angle_beta 90.00
_cell_angle_gamma 90.00
_symmetry_space_group_name_H-M 'P m -3 m'
_symmetry_Int_Tables_number 221
_symmetry_space_group_name_Hall '-P 4 2 3'
loop_
_atom_site_label
_atom_site_type_symbol
_atom_site_fract_x
_atom_site_fract_y
_atom_site_fract_z
_atom_site_occupancy
In1 In 0.0000 0.0000 0.0000 1
Ge1 Ge 0.5000 0.5000 0.5000 1
F1 F 0.0000 0.5000 0.5000 1
```

***

Record 4
## Tb2YThBi5 (PBE)

Data for a geometry-optimized Tb2YThBi5 structure.

Properties
E_tot   -4.5439 eV/atom

```
data_Tb2YThBi5
_chemical_formula_sum 'Tb2 Y1 Th1 Bi5'
_cell_length_a 5.7260
_cell_length_b 5.7260
_cell_length_c 11.9271
_cell_angle_alpha 90.00
_cell_angle_beta 90.00
_cell_angle_gamma 90.00
_symmetry_space_group_name_H-M 'P 4/m m m'
_symmetry_Int_Tables_number 123
_symmetry_space_group_name_Hall '-P 4 2'
loop_
_atom_site_label
_atom_site_type_symbol
_atom_site_fract_x
_atom_site_fract_y
_atom_site_fract_z
_atom_site_occupancy
Tb1 Tb 0.0000 0.0000 0.2317 1
Y1 Y 0.5000 0.5000 0.5000 1
Th1 Th 0.5000 0.5000 0.0000 1
Bi1 Bi 0.0000 0.0000 0.5000 1
Bi2 Bi 0.0000 0.5000 0.0000 1
Bi3 Bi 0.5000 0.5000 0.2583 1
```

***

Record 5
## Tl8Hg2Pt (PBE)

Data for a geometry-optimized Tl8Hg2Pt structure.

Properties
E_tot   -2.3301 eV/atom

```
data_Tl8Hg2Pt
_chemical_formula_sum 'Tl16 Hg4 Pt2'
_cell_length_a 19.6765
_cell_length_b 4.9830
_cell_length_c 6.5725
_cell_angle_alpha 90.00
_cell_angle_beta 96.71
_cell_angle_gamma 90.00
_symmetry_space_group_name_H-M 'C 1 2/m 1'
_symmetry_Int_Tables_number 12
_symmetry_space_group_name_Hall '-C 2y'
loop_
_atom_site_label
_atom_site_type_symbol
_atom_site_fract_x
_atom_site_fract_y
_atom_site_fract_z
_atom_site_occupancy
Tl1 Tl 0.0223 0.0000 0.2629 1
Tl2 Tl 0.0896 0.5000 0.8951 1
Tl3 Tl 0.1385 0.5000 0.3973 1
Tl4 Tl 0.2175 0.0000 0.1813 1
Hg1 Hg 0.1758 0.0000 0.6943 1
Pt1 Pt 0.0000 0.5000 0.5000 1
```

***

Record 6
## YTl2Bi2 (PBE)

Data for a geometry-optimized YTl2Bi2 structure.

Properties
Offset from the most stable computed form   0.000 eV per atom

```
data_YTl2Bi2
_chemical_formula_sum 'Y2 Tl4 Bi4'
_cell_length_a 4.3566
_cell_length_b 4.3566
_cell_length_c 17.4548
_cell_angle_alpha 90.00
_cell_angle_beta 90.00
_cell_angle_gamma 90.00
_symmetry_space_group_name_H-M 'I 4/m m m'
_symmetry_Int_Tables_number 139
_symmetry_space_group_name_Hall '-I 4 2'
loop_
_atom_site_label
_atom_site_type_symbol
_atom_site_fract_x
_atom_site_fract_y
_atom_site_fract_z
_atom_site_occupancy
Y1 Y 0.0000 0.0000 0.0000 1
Tl1 Tl 0.0000 0.5000 0.2500 1
Bi1 Bi 0.0000 0.0000 0.4119 1
```

***

Record 7
## Cs2IrOsI6 (PBE)

Data for a geometry-optimized Cs2IrOsI6 structure.

Properties
E_tot   -3.3095 eV/atom

```
data_Cs2IrOsI6
_chemical_formula_sum 'Cs4 Ir2 Os2 I12'
_cell_length_a 7.9776
_cell_length_b 7.9776
_cell_length_c 11.2475
_cell_angle_alpha 90.00
_cell_angle_beta 90.00
_cell_angle_gamma 90.00
_symmetry_space_group_name_H-M 'I 4/m m m'
_symmetry_Int_Tables_number 139
_symmetry_space_group_name_Hall '-I 4 2'
loop_
_atom_site_label
_atom_site_type_symbol
_atom_site_fract_x
_atom_site_fract_y
_atom_site_fract_z
_atom_site_occupancy
Cs1 Cs 0.0000 0.5000 0.2500 1
Ir1 Ir 0.0000 0.0000 0.0000 1
Os1 Os 0.0000 0.0000 0.5000 1
I1 I 0.0000 0.0000 0.2496 1
I2 I 0.2495 0.2495 0.0000 1
```

***

Record 8
## Nd2DyErBi4 (PBE)

Data for a geometry-optimized Nd2DyErBi4 structure.

Properties
E_tot   -5.1676 eV/atom

```
data_Nd2DyErBi4
_chemical_formula_sum 'Nd2 Dy1 Er1 Bi4'
_cell_length_a 7.8488
_cell_length_b 4.5413
_cell_length_c 7.8612
_cell_angle_alpha 90.00
_cell_angle_beta 109.50
_cell_angle_gamma 90.00
_symmetry_space_group_name_H-M 'P 1 2/m 1'
_symmetry_Int_Tables_number 10
_symmetry_space_group_name_Hall '-P 2y'
loop_
_atom_site_label
_atom_site_type_symbol
_atom_site_fract_x
_atom_site_fract_y
_atom_site_fract_z
_atom_site_occupancy
Nd1 Nd 0.0000 0.0000 0.0000 1
Nd2 Nd 0.0000 0.5000 0.5000 1
Dy1 Dy 0.5000 0.0000 0.5000 1
Er1 Er 0.5000 0.5000 0.0000 1
Bi1 Bi 0.2602 0.0000 0.7543 1
Bi2 Bi 0.2596 0.5000 0.2522 1
```

***

Record 9
## Nb2TeRu (PBE)

Data for a geometry-optimized Nb2TeRu structure.

Properties
E_tot   -7.3656 eV/atom

```
data_Nb2TeRu
_chemical_formula_sum 'Nb8 Te4 Ru4'
_cell_length_a 5.5017
_cell_length_b 5.5017
_cell_length_c 13.8983
_cell_angle_alpha 90.00
_cell_angle_beta 90.00
_cell_angle_gamma 90.00
_symmetry_space_group_name_H-M 'I -4 2 d'
_symmetry_Int_Tables_number 122
_symmetry_space_group_name_Hall 'I -4 2bw'
loop_
_atom_site_label
_atom_site_type_symbol
_atom_site_fract_x
_atom_site_fract_y
_atom_site_fract_z
_atom_site_occupancy
Nb1 Nb 0.1953 0.2500 0.1250 1
Te1 Te 0.0000 0.0000 0.5000 1
Ru1 Ru 0.0000 0.0000 0.0000 1
```

***

Record 10
## V2SiSn (PBE)

Data for a geometry-optimized V2SiSn structure.

Properties
Offset from the most stable computed form   0.354 eV per atom

```
data_V2SiSn
_chemical_formula_sum 'V8 Si4 Sn4'
_cell_length_a 3.8579
_cell_length_b 3.8579
_cell_length_c 18.5090
_cell_angle_alpha 90.00
_cell_angle_beta 90.00
_cell_angle_gamma 90.00
_symmetry_space_group_name_H-M 'I -4 2 d'
_symmetry_Int_Tables_number 122
_symmetry_space_group_name_Hall 'I -4 2bw'
loop_
_atom_site_label
_atom_site_type_symbol
_atom_site_fract_x
_atom_site_fract_y
_atom_site_fract_z
_atom_site_occupancy
V1 V 0.2020 0.2500 0.1250 1
Si1 Si 0.0000 0.0000 0.0000 1
Sn1 Sn 0.0000 0.0000 0.5000 1
```

***

Record 11
## Ta2TiFe (PBE)

Data for a geometry-optimized Ta2TiFe structure.

Properties
E_tot   -9.6151 eV/atom

```
data_Ta2TiFe
_chemical_formula_sum 'Ta8 Ti4 Fe4'
_cell_length_a 7.1152
_cell_length_b 7.1152
_cell_length_c 5.3751
_cell_angle_alpha 90.00
_cell_angle_beta 90.00
_cell_angle_gamma 90.00
_symmetry_space_group_name_H-M 'I -4 2 d'
_symmetry_Int_Tables_number 122
_symmetry_space_group_name_Hall 'I -4 2bw'
loop_
_atom_site_label
_atom_site_type_symbol
_atom_site_fract_x
_atom_site_fract_y
_atom_site_fract_z
_atom_site_occupancy
Ta1 Ta 0.2081 0.2500 0.1250 1
Ti1 Ti 0.0000 0.0000 0.5000 1
Fe1 Fe 0.0000 0.0000 0.0000 1
```

***

Record 12
## NdSm2H8 (PBE)

Data for a geometry-optimized NdSm2H8 structure.

Properties
E_tot   -4.3263 eV/atom

```
data_NdSm2H8
_chemical_formula_sum 'Nd2 Sm4 H16'
_cell_length_a 3.7840
_cell_length_b 5.3455
_cell_length_c 11.3515
_cell_angle_alpha 90.00
_cell_angle_beta 90.00
_cell_angle_gamma 90.00
_symmetry_space_group_name_H-M 'I m m m'
_symmetry_Int_Tables_number 71
_symmetry_space_group_name_Hall '-I 2 2'
loop_
_atom_site_label
_atom_site_type_symbol
_atom_site_fract_x
_atom_site_fract_y
_atom_site_fract_z
_atom_site_occupancy
Nd1 Nd 0.0000 0.0000 0.0000 1
Sm1 Sm 0.0000 0.0000 0.3304 1
H1 H 0.0000 0.2244 0.5000 1
H2 H 0.0000 0.2633 0.1622 1
H3 H 0.0000 0.5000 0.3417 1
```

***

One value per record, in order, for N(E_F): 5.728, 8.682, 0.000, 7.345, 8.816, 5.507, 29.934, 1.236, 32.480, 23.026, 15.700, 2.564 states/eV per cell.